Density functional theory data (PBE) for an optimized crystal structure of KNiSb2.

POSCAR file:
```
KNiSb2
1.0
-0.156 3.635 4.381
-1.807 -2.571 4.749
4.017 -1.295 -3.823
Ni K Sb
1 1 2
direct
0.750 0.250 0.500
0.500 0.500 0.000
0.250 0.750 0.500
0.000 0.000 0.000
```

## Properties
space group	I-4m2
total magnetic moment	0.0	Bohr magnetons per cell
formation energy without anion corrections	0.374	eV/atom
calculated total energy	-3.407	eV/atom

***

Density functional theory data (PBE) for an optimized crystal structure of AlSi2Ir.

POSCAR file:
```
AlSi2Ir
1.0
-4.818 5.651 -2.416
-4.423 4.099 -4.962
-6.478 3.203 -2.958
Si Ir Al
2 1 1
direct
0.504 0.504 0.504
0.996 0.996 0.996
0.250 0.250 0.250
0.750 0.750 0.750
```

## Properties
space group	R-3m
total magnetic moment	0.0	Bohr magnetons per cell
formation energy without anion corrections	-0.089	eV/atom
calculated total energy	-5.951	eV/atom

***

Density functional theory data (PBE) for an optimized crystal structure of SmScP2.

POSCAR file:
```
SmScP2
1.0
3.944 0.000 0.000
1.972 3.416 0.000
1.972 1.139 6.398
Sc P Sm
1 2 1
direct
0.000 0.000 0.000
0.257 0.257 0.229
0.743 0.743 0.771
0.500 0.500 0.500
```

## Properties
space group	R-3m
total magnetic moment	0.0	Bohr magnetons per cell
calculated total energy	-6.968	eV/atom